CaMnNb2O8, optimized geometry, DFT GGA+U; raw total energy = -7.9563 eV per atom
1.0
5.2566 0.0000 0.0000
-2.6283 4.5524 0.0000
0.0000 0.0000 6.2828
Ca Mn Nb O
1 1 2 8
direct
0.0000 0.0000 0.0000
0.0000 0.0000 0.5000
0.3333 0.6667 0.3634
0.6667 0.3333 0.6366
0.0474 0.3300 0.6563
0.2826 0.9526 0.6563
0.3300 0.2826 0.3437
0.3333 0.6667 0.0788
0.6667 0.3333 0.9212
0.6700 0.7174 0.6563
0.7174 0.0474 0.3437
0.9526 0.6700 0.3437